! LaZn2Co | Alexandria via LeMat-Bulk | PBE | relaxed; values from VASP
&SYSTEM
  ibrav = 0, nat = 4, ntyp = 3
/
ATOMIC_SPECIES
La 138.91 La.upf
Zn 65.41 Zn.upf
Co 58.93 Co.upf
CELL_PARAMETERS angstrom
3.8432 0.0000 0.0000
0.0000 3.8432 0.0000
0.0000 0.0000 5.1250
ATOMIC_POSITIONS angstrom
La 0.0000 0.0000 0.0000
Zn 0.0000 1.9216 2.5625
Zn 1.9216 0.0000 2.5625
Co 1.9216 1.9216 0.0000
! E ... -3.60 eV/atom
! Calculated formation energy ... 0.04 eV per atom
! Crystal system ... tetragonal
! Space group ... P4/mmm (123)

=====

! KTa2Os | Alexandria via LeMat-Bulk | PBE | relaxed; values from VASP
&SYSTEM
  ibrav = 0, nat = 8, ntyp = 3
/
ATOMIC_SPECIES
K 39.10 K.upf
Ta 180.95 Ta.upf
Os 190.23 Os.upf
CELL_PARAMETERS angstrom
3.2010 0.0000 0.0000
0.0000 4.3850 0.0000
0.0000 0.0000 15.8914
ATOMIC_POSITIONS angstrom
K 0.0000 0.0000 0.0000
K 1.6005 2.1925 7.9457
Ta 0.0000 0.0000 5.0492
Ta 0.0000 2.1925 3.2761
Ta 1.6005 0.0000 11.2218
Ta 1.6005 2.1925 12.9949
Os 0.0000 2.1925 11.1037
Os 1.6005 0.0000 3.1580
! E ... -8.19 eV/atom
! Calculated formation energy ... 0.82 eV per atom
! Crystal system ... orthorhombic
! Space group ... Imm2 (44)
! E above lowest polymorph ... 238 meV/atom

=====

! ScTaSe2 | Alexandria via LeMat-Bulk | PBE | relaxed; values from VASP
&SYSTEM
  ibrav = 0, nat = 8, ntyp = 3
/
ATOMIC_SPECIES
Sc 44.96 Sc.upf
Ta 180.95 Ta.upf
Se 78.96 Se.upf
CELL_PARAMETERS angstrom
3.6859 0.0000 0.0000
0.0000 3.6859 0.0000
0.0000 0.0000 11.9853
ATOMIC_POSITIONS angstrom
Sc 0.0000 0.0000 0.0000
Sc 1.8430 1.8430 5.9926
Ta 0.0000 1.8430 2.9963
Ta 1.8430 0.0000 8.9890
Se 0.0000 0.0000 5.9926
Se 0.0000 1.8430 8.9890
Se 1.8430 0.0000 2.9963
Se 1.8430 1.8430 0.0000
! E ... -6.69 eV/atom
! Crystal system ... tetragonal
! Space group ... I-4m2 (119)
! E above lowest polymorph ... 498 meV/atom
! Uncorrected formation energy ... -0.4024 eV per atom